1.
Material: TaSi2Ag
Method: DFT, GGA-PBE
State: optimized geometry

## Properties
Total moment: 0.00 μB per formula unit
DOS(E_F): 3.9 states/eV per cell
Energy relative to the elements, uncorrected: 266 meV/atom

CIF file:
```
data_TaSi2Ag
_symmetry_space_group_name_H-M 'C m m 2'
_symmetry_Int_Tables_number 35
_cell_length_a 3.5684
_cell_length_b 4.2953
_cell_length_c 8.5016
_cell_angle_alpha 90.00
_cell_angle_beta 90.00
_cell_angle_gamma 90.00
loop_
_symmetry_equiv_pos_as_xyz
'x,y,z'
'-x,-y,z'
'-x,y,z'
'x,-y,z'
'x+1/2,y+1/2,z'
'-x+1/2,-y+1/2,z'
'-x+1/2,y+1/2,z'
'x+1/2,-y+1/2,z'
loop_
_atom_site_label
_atom_site_type_symbol
_atom_site_fract_x
_atom_site_fract_y
_atom_site_fract_z
Ta1 Ta 0.0000 0.0000 0.0000
Si1 Si 0.0000 0.0000 0.4620
Si2 Si 0.0000 0.5000 0.2311
Ag1 Ag 0.0000 0.5000 0.7252
```

***

2.
Material: TaSiAg2
Method: DFT, GGA-PBE
State: optimized geometry

## Properties
Total moment: 0.00 μB per formula unit
DOS(E_F): 1.7 states/eV per cell
Energy relative to the elements, uncorrected: 165 meV/atom

CIF file:
```
data_TaSiAg2
_symmetry_space_group_name_H-M 'P 4/m m m'
_symmetry_Int_Tables_number 123
_symmetry_space_group_name_Hall '-P 4 2'
_cell_length_a 3.8240
_cell_length_b 3.8240
_cell_length_c 4.5980
_cell_angle_alpha 90.00
_cell_angle_beta 90.00
_cell_angle_gamma 90.00
loop_
_atom_site_label
_atom_site_type_symbol
_atom_site_fract_x
_atom_site_fract_y
_atom_site_fract_z
Ta1 Ta 0.0000 0.0000 0.0000
Si1 Si 0.5000 0.5000 0.0000
Ag1 Ag 0.0000 0.5000 0.5000
```

***

3.
Material: TaSiAg
Method: DFT, GGA-PBE
State: optimized geometry

## Properties
Total moment: 0.00 μB per formula unit
DOS(E_F): 2.3 states/eV per cell
Energy relative to the elements, uncorrected: 174 meV/atom

CIF file:
```
data_TaSiAg
_symmetry_space_group_name_H-M 'I 4 m m'
_symmetry_Int_Tables_number 107
_symmetry_space_group_name_Hall 'I 4 -2'
_cell_length_a 2.8178
_cell_length_b 2.8178
_cell_length_c 12.6474
_cell_angle_alpha 90.00
_cell_angle_beta 90.00
_cell_angle_gamma 90.00
loop_
_atom_site_label
_atom_site_type_symbol
_atom_site_fract_x
_atom_site_fract_y
_atom_site_fract_z
Ta1 Ta 0.0000 0.0000 0.0000
Si1 Si 0.0000 0.0000 0.3489
Ag1 Ag 0.0000 0.0000 0.6798
```

***

4.
Material: TaSi2Ag
Method: DFT, GGA-PBE
State: optimized geometry

## Properties
Total moment: 0.00 μB per formula unit
DOS(E_F): 1.4 states/eV per cell
Energy relative to the elements, uncorrected: 175 meV/atom

CIF file:
```
data_TaSi2Ag
_symmetry_space_group_name_H-M 'P 4/m m m'
_symmetry_Int_Tables_number 123
_symmetry_space_group_name_Hall '-P 4 2'
_cell_length_a 2.7890
_cell_length_b 2.7890
_cell_length_c 8.5170
_cell_angle_alpha 90.00
_cell_angle_beta 90.00
_cell_angle_gamma 90.00
loop_
_atom_site_label
_atom_site_type_symbol
_atom_site_fract_x
_atom_site_fract_y
_atom_site_fract_z
Ta1 Ta 0.0000 0.0000 0.0000
Si1 Si 0.5000 0.5000 0.2334
Ag1 Ag 0.0000 0.0000 0.5000
```

***

5.
Material: TaSiAg
Method: DFT, GGA-PBE
State: optimized geometry

## Properties
Total moment: 0.00 μB per formula unit
DOS(E_F): 5.6 states/eV per cell
Energy relative to the elements, uncorrected: 333 meV/atom

CIF file:
```
data_TaSiAg
_symmetry_space_group_name_H-M 'F -4 3 m'
_symmetry_Int_Tables_number 216
_symmetry_space_group_name_Hall 'F -4 2 3'
_cell_length_a 6.0229
_cell_length_b 6.0229
_cell_length_c 6.0229
_cell_angle_alpha 90.00
_cell_angle_beta 90.00
_cell_angle_gamma 90.00
loop_
_atom_site_label
_atom_site_type_symbol
_atom_site_fract_x
_atom_site_fract_y
_atom_site_fract_z
Ta1 Ta 0.0000 0.0000 0.0000
Si1 Si 0.2500 0.2500 0.7500
Ag1 Ag 0.0000 0.0000 0.5000
```

***

6.
Material: TaSi2Ag
Method: DFT, GGA-PBE
State: optimized geometry

## Properties
Total moment: 0.00 μB per formula unit
DOS(E_F): 2.8 states/eV per cell
Energy relative to the elements, uncorrected: 269 meV/atom

CIF file:
```
data_TaSi2Ag
_symmetry_space_group_name_H-M 'P 4 m m'
_symmetry_Int_Tables_number 99
_cell_length_a 2.7807
_cell_length_b 2.7807
_cell_length_c 8.3651
_cell_angle_alpha 90.00
_cell_angle_beta 90.00
_cell_angle_gamma 90.00
loop_
_symmetry_equiv_pos_as_xyz
'x,y,z'
'-y,x,z'
'-x,-y,z'
'y,-x,z'
'-x,y,z'
'y,x,z'
'x,-y,z'
'-y,-x,z'
loop_
_atom_site_label
_atom_site_type_symbol
_atom_site_fract_x
_atom_site_fract_y
_atom_site_fract_z
Ta1 Ta 0.0000 0.0000 0.0000
Si1 Si 0.0000 0.0000 0.5313
Si2 Si 0.5000 0.5000 0.7670
Ag1 Ag 0.5000 0.5000 0.2734
```

***

7.
Material: TaSiAg3
Method: DFT, GGA-PBE
State: optimized geometry

## Properties
Total moment: 1.33 μB per formula unit
DOS(E_F): 2.7 states/eV per cell
Energy above the lowest structure with this stoichiometry: 0 meV per atom
Energy relative to the elements, uncorrected: 1076 meV/atom

CIF file:
```
data_TaSiAg3
_symmetry_space_group_name_H-M 'P m -3 m'
_symmetry_Int_Tables_number 221
_symmetry_space_group_name_Hall '-P 4 2 3'
_cell_length_a 4.6430
_cell_length_b 4.6430
_cell_length_c 4.6430
_cell_angle_alpha 90.00
_cell_angle_beta 90.00
_cell_angle_gamma 90.00
loop_
_atom_site_label
_atom_site_type_symbol
_atom_site_fract_x
_atom_site_fract_y
_atom_site_fract_z
Ta1 Ta 0.0000 0.0000 0.0000
Si1 Si 0.5000 0.5000 0.5000
Ag1 Ag 0.0000 0.5000 0.5000
```

***

8.
Material: TaSiAg2
Method: DFT, GGA-PBE
State: optimized geometry

## Properties
Total moment: 0.00 μB per formula unit
DOS(E_F): 2.8 states/eV per cell
Energy relative to the elements, uncorrected: 137 meV/atom

CIF file:
```
data_TaSiAg2
_symmetry_space_group_name_H-M 'P 4 m m'
_symmetry_Int_Tables_number 99
_cell_length_a 2.8560
_cell_length_b 2.8560
_cell_length_c 8.2999
_cell_angle_alpha 90.00
_cell_angle_beta 90.00
_cell_angle_gamma 90.00
loop_
_symmetry_equiv_pos_as_xyz
'x,y,z'
'-y,x,z'
'-x,-y,z'
'y,-x,z'
'-x,y,z'
'y,x,z'
'x,-y,z'
'-y,-x,z'
loop_
_atom_site_label
_atom_site_type_symbol
_atom_site_fract_x
_atom_site_fract_y
_atom_site_fract_z
Ta1 Ta 0.0000 0.0000 0.0000
Si1 Si 0.5000 0.5000 0.7754
Ag1 Ag 0.0000 0.0000 0.5305
Ag2 Ag 0.5000 0.5000 0.2620
```

***

9.
Material: TaSi2Ag
Method: DFT, GGA-PBE
State: optimized geometry

## Properties
Total moment: 0.00 μB per formula unit
DOS(E_F): 7.8 states/eV per cell
Energy relative to the elements, uncorrected: 493 meV/atom

CIF file:
```
data_TaSi2Ag
_symmetry_space_group_name_H-M 'I -4 2 d'
_symmetry_Int_Tables_number 122
_symmetry_space_group_name_Hall 'I -4 2bw'
_cell_length_a 6.8949
_cell_length_b 6.8949
_cell_length_c 5.8273
_cell_angle_alpha 90.00
_cell_angle_beta 90.00
_cell_angle_gamma 90.00
loop_
_atom_site_label
_atom_site_type_symbol
_atom_site_fract_x
_atom_site_fract_y
_atom_site_fract_z
Ta1 Ta 0.0000 0.0000 0.0000
Si1 Si 0.2381 0.7500 0.6250
Ag1 Ag 0.0000 0.0000 0.5000
```

***

10.
Material: TaSi2Ag
Method: DFT, GGA-PBE
State: optimized geometry

## Properties
Total moment: 0.00 μB per formula unit
DOS(E_F): 3.9 states/eV per cell
Energy relative to the elements, uncorrected: 36 meV/atom

CIF file:
```
data_TaSi2Ag
_symmetry_space_group_name_H-M 'C 1 m 1'
_symmetry_Int_Tables_number 8
_cell_length_a 9.6102
_cell_length_b 3.0182
_cell_length_c 4.5367
_cell_angle_alpha 90.00
_cell_angle_beta 106.46
_cell_angle_gamma 90.00
loop_
_symmetry_equiv_pos_as_xyz
'x,y,z'
'x,-y,z'
'x+1/2,y+1/2,z'
'x+1/2,-y+1/2,z'
loop_
_atom_site_label
_atom_site_type_symbol
_atom_site_fract_x
_atom_site_fract_y
_atom_site_fract_z
Ta1 Ta 0.0000 0.0000 0.0000
Si1 Si 0.0329 0.5000 0.5269
Si2 Si 0.2595 0.0000 0.8862
Ag1 Ag 0.2746 0.5000 0.3823
```

***

11.
Material: TbSiAg
Method: DFT, GGA-PBE
State: optimized geometry

## Properties
Total moment: 0.00 μB per formula unit
Energy relative to the elements, uncorrected: -402 meV/atom

CIF file:
```
data_TbSiAg
_symmetry_space_group_name_H-M 'F -4 3 m'
_symmetry_Int_Tables_number 216
_symmetry_space_group_name_Hall 'F -4 2 3'
_cell_length_a 6.5163
_cell_length_b 6.5163
_cell_length_c 6.5163
_cell_angle_alpha 90.00
_cell_angle_beta 90.00
_cell_angle_gamma 90.00
loop_
_atom_site_label
_atom_site_type_symbol
_atom_site_fract_x
_atom_site_fract_y
_atom_site_fract_z
Tb1 Tb 0.0000 0.0000 0.0000
Si1 Si 0.2500 0.2500 0.7500
Ag1 Ag 0.0000 0.0000 0.5000
```

***

12.
Material: TbSiAg
Method: DFT, GGA-PBE
State: optimized geometry

## Properties
Total moment: 0.00 μB per formula unit
DOS(E_F): 3.6 states/eV per cell
Energy relative to the elements, uncorrected: -558 meV/atom

CIF file:
```
data_TbSiAg
_symmetry_space_group_name_H-M 'C m c m'
_symmetry_Int_Tables_number 63
_symmetry_space_group_name_Hall '-C 2c 2'
_cell_length_a 4.1150
_cell_length_b 16.0223
_cell_length_c 3.7620
_cell_angle_alpha 90.00
_cell_angle_beta 90.00
_cell_angle_gamma 90.00
loop_
_atom_site_label
_atom_site_type_symbol
_atom_site_fract_x
_atom_site_fract_y
_atom_site_fract_z
Tb1 Tb 0.0000 0.0994 0.2500
Si1 Si 0.0000 0.4552 0.2500
Ag1 Ag 0.0000 0.2889 0.2500
```

***

13.
Material: TbSi2Ag
Method: DFT, GGA-PBE
State: optimized geometry

## Properties
Total moment: 0.00 μB per formula unit
DOS(E_F): 7.0 states/eV per cell
Energy relative to the elements, uncorrected: -448 meV/atom

CIF file:
```
data_TbSi2Ag
_symmetry_space_group_name_H-M 'P n m a'
_symmetry_Int_Tables_number 62
_cell_length_a 13.4914
_cell_length_b 4.1852
_cell_length_c 10.8275
_cell_angle_alpha 90.00
_cell_angle_beta 90.00
_cell_angle_gamma 90.00
loop_
_symmetry_equiv_pos_as_xyz
'x,y,z'
'-x,-y,-z'
'-x+1/2,-y,z+1/2'
'x+1/2,y,-z+1/2'
'x+1/2,-y+1/2,-z+1/2'
'-x+1/2,y+1/2,z+1/2'
'-x,y+1/2,-z'
'x,-y+1/2,z'
loop_
_atom_site_label
_atom_site_type_symbol
_atom_site_fract_x
_atom_site_fract_y
_atom_site_fract_z
Tb1 Tb 0.0522 0.2500 0.2399
Tb2 Tb 0.1951 0.7500 0.9598
Si1 Si 0.0290 0.2500 0.9651
Si2 Si 0.1094 0.2500 0.7768
Si3 Si 0.1320 0.7500 0.4439
Si4 Si 0.2121 0.7500 0.2566
Ag1 Ag 0.0612 0.2500 0.5511
Ag2 Ag 0.2083 0.7500 0.6597
```